Density functional theory data (PBE) for a relaxed structure of Na4B9Se9.

Structure (CIF):
```
data_Na4B9Se9
_chemical_formula_sum 'Na16 B36 Se36'
_symmetry_space_group_name_H-M 'P 1 21/c 1'
_symmetry_Int_Tables_number 14
_cell_length_a 11.0556
_cell_length_b 16.5225
_cell_length_c 11.9873
_cell_angle_alpha 90.00
_cell_angle_beta 118.04
_cell_angle_gamma 90.00
loop_
_symmetry_equiv_pos_as_xyz
'x,y,z'
'-x,-y,-z'
'-x,y+1/2,-z+1/2'
'x,-y+1/2,z+1/2'
loop_
_atom_site_label
_atom_site_fract_x
_atom_site_fract_y
_atom_site_fract_z
Na1 0.0139 0.1495 0.0515
Na2 0.3044 0.6002 0.8226
Na3 0.4190 0.2443 0.2155
Na4 0.4723 0.6273 0.4742
B1 0.0032 0.0078 0.3601
B2 0.0417 0.5842 0.9465
B3 0.0579 0.0884 0.4721
B4 0.1185 0.5622 0.1094
B5 0.1281 0.0447 0.6265
B6 0.1571 0.5008 0.0075
B7 0.1892 0.0617 0.8979
B8 0.2257 0.7230 0.0765
B9 0.3187 0.1357 0.4786
Se1 0.0136 0.5011 0.3154
Se2 0.1017 0.6883 0.9001
Se3 0.1440 0.1881 0.4442
Se4 0.2466 0.6507 0.2155
Se5 0.2676 0.0964 0.7872
Se6 0.2813 0.0833 0.0769
Se7 0.3048 0.6696 0.6051
Se8 0.3429 0.0181 0.5192
Se9 0.4696 0.1968 0.4830
```

Density functional theory data (PBE) for a relaxed structure of Dy6GeC2S3.

Structure (CIF):
```
data_Dy6GeC2S3
_chemical_formula_sum 'Dy12 Ge2 C4 S6'
_symmetry_space_group_name_H-M 'C 1 2/m 1'
_symmetry_Int_Tables_number 12
_cell_length_a 16.9800
_cell_length_b 3.7882
_cell_length_c 7.8992
_cell_angle_alpha 90.00
_cell_angle_beta 103.92
_cell_angle_gamma 90.00
loop_
_symmetry_equiv_pos_as_xyz
'x,y,z'
'-x,-y,-z'
'-x,y,-z'
'x,-y,z'
'x+1/2,y+1/2,z'
'-x+1/2,-y+1/2,-z'
'-x+1/2,y+1/2,-z'
'x+1/2,-y+1/2,z'
loop_
_atom_site_label
_atom_site_fract_x
_atom_site_fract_y
_atom_site_fract_z
Dy1 0.0148 0.0000 0.2637
Dy2 0.1708 0.5000 0.1189
Dy3 0.1769 0.5000 0.5636
Ge1 0.0000 0.5000 0.0000
C1 0.1709 0.0000 0.3412
S1 0.0000 0.5000 0.5000
S2 0.1642 0.0000 0.8308
```

Density functional theory data (PBE) for a relaxed structure of TeRhSI2.

Structure (CIF):
```
data_TeRhSI2
_chemical_formula_sum 'Te1 Rh1 S1 I2'
_symmetry_space_group_name_H-M 'P 4/m m m'
_symmetry_Int_Tables_number 123
_symmetry_space_group_name_Hall '-P 4 2'
_cell_length_a 5.4259
_cell_length_b 5.4259
_cell_length_c 5.3031
_cell_angle_alpha 90.00
_cell_angle_beta 90.00
_cell_angle_gamma 90.00
loop_
_atom_site_label
_atom_site_fract_x
_atom_site_fract_y
_atom_site_fract_z
Te1 0.0000 0.0000 0.0000
Rh1 0.5000 0.5000 0.0000
S1 0.0000 0.0000 0.5000
I1 0.0000 0.5000 0.5000
```

Calculated values
The calculation puts the energy above the most stable polymorph in this dataset at 2.24 eV/f.u.

| no. | calculated volume (Å³ per cell) | formation energy without anion corrections (meV/atom) |
| --- | --- | --- |
| 1 | 1932.7 | -498 |
| 2 | 493.2 | -1299 |
| 3 | 156.1 | 1045 |